Record 1
The following is a GGA-PBE calculation of a geometry-optimized NaTlAg2Cl6 structure, from Alexandria via LeMat-Bulk.

Unit cell a=6.930 b=6.938 c=7.390 alpha=90.02 beta=117.92 gamma=119.94
Space group P1 (No. 1)
One atom of each set of equivalent atoms:
Na 0.000 0.000 0.000 [1 per cell]
Tl 0.984 0.492 0.476 [1 per cell]
Ag 0.582 0.290 0.872 [1 per cell]
Ag 0.594 0.798 0.392 [1 per cell]
Cl 0.106 0.409 0.205 [1 per cell]
Cl 0.110 0.230 0.695 [1 per cell]
Cl 0.466 0.880 0.695 [1 per cell]
Cl 0.508 0.100 0.205 [1 per cell]
Cl 0.796 0.697 0.205 [1 per cell]
Cl 0.816 0.586 0.696 [1 per cell]

Computed properties:
**DFT total energy**: -2.849 eV/atom
**Crystal system**: triclinic
**Total magnetic moment**: 0.0 μB/f.u.

---

Record 2
The following is a GGA-PBE calculation of a geometry-optimized TbY2Si2 structure, from Alexandria via LeMat-Bulk.

Unit cell a=7.521 b=7.521 c=4.217 alpha=90.00 beta=90.00 gamma=90.00
Space group P4/mbm (No. 127)
One atom of each set of equivalent atoms:
Tb 0.000 0.000 0.000 [2 per cell]
Y 0.176 0.324 0.500 [4 per cell]
Si 0.116 0.616 0.000 [4 per cell]

Computed properties:
**Polymorph energy (0 for the lowest one)**: 0.0 kJ per mole of atoms
**Crystal system**: tetragonal
**Total magnetic moment**: 0.0 μB/f.u.

---

Record 3
The following is a GGA-PBE calculation of a geometry-optimized SrSn6Hg structure, from Alexandria via LeMat-Bulk.

Unit cell a=6.388 b=11.063 c=6.389 alpha=90.00 beta=90.05 gamma=90.00
Space group C2/m (No. 12)
One atom of each set of equivalent atoms:
Sr 0.000 0.000 0.000 [2 per cell]
Sn 0.001 0.500 0.745 [4 per cell]
Sn 0.249 0.250 0.255 [8 per cell]
Hg 0.000 0.000 0.500 [2 per cell]

Computed properties:
**ΔE_f**: -187 meV/atom
**Crystal system**: monoclinic
**Total magnetic moment**: 0.0 μB/f.u.

---

Record 4
The following is a GGA-PBE calculation of a geometry-optimized Cu2ReSe structure, from Alexandria via LeMat-Bulk.

Unit cell a=3.628 b=3.628 c=8.733 alpha=90.00 beta=90.00 gamma=90.00
Space group I4/mmm (No. 139)
One atom of each set of equivalent atoms:
Cu 0.000 0.500 0.250 [4 per cell]
Re 0.000 0.000 0.000 [2 per cell]
Se 0.000 0.000 0.500 [2 per cell]

Computed properties:
**DFT total energy**: -5.331 eV/atom
**Crystal system**: tetragonal
**Total magnetic moment**: 1.2 μB/f.u.

---

Record 5
The following is a GGA-PBE calculation of a geometry-optimized NaAlSn structure, from Alexandria via LeMat-Bulk.

Unit cell a=3.838 b=4.191 c=5.456 alpha=90.00 beta=90.00 gamma=90.00
Space group Pmmm (No. 47)
One atom of each set of equivalent atoms:
Na 0.000 0.000 0.000 [1 per cell]
Al 0.000 0.500 0.500 [1 per cell]
Sn 0.500 0.000 0.500 [1 per cell]

Computed properties:
**ΔE_f**: 120 meV/atom
**Crystal system**: orthorhombic
**Total magnetic moment**: 0.0 μB/f.u.

---

Record 6
The following is a GGA-PBE calculation of a geometry-optimized AsAuSe2 structure, from Alexandria via LeMat-Bulk.

Unit cell a=6.802 b=6.802 c=6.802 alpha=90.00 beta=90.00 gamma=90.00
Space group F-43m (No. 216)
One atom of each set of equivalent atoms:
As 0.000 0.000 0.000 [4 per cell]
Au 0.250 0.250 0.750 [4 per cell]
Se 0.000 0.000 0.500 [4 per cell]
Se 0.250 0.250 0.250 [4 per cell]

Computed properties:
**DFT total energy**: -3.216 eV/atom
**Crystal system**: cubic
**Total magnetic moment**: 0.0 μB/f.u.

---

Record 7
The following is a GGA-PBE calculation of a geometry-optimized Pm2Y5Tm structure, from Alexandria via LeMat-Bulk.

Unit cell a=7.164 b=14.330 c=5.054 alpha=90.00 beta=90.00 gamma=90.00
Space group Pbam (No. 55)
One atom of each set of equivalent atoms:
Pm 0.248 0.124 0.000 [4 per cell]
Y 0.000 0.500 0.500 [2 per cell]
Y 0.001 0.751 0.500 [4 per cell]
Y 0.249 0.375 0.000 [4 per cell]
Tm 0.000 0.000 0.500 [2 per cell]

Computed properties:
**ΔE_f**: 22 meV/atom
**Polymorph energy (0 for the lowest one)**: 0.0 kJ per mole of atoms
**Crystal system**: orthorhombic
**Total magnetic moment**: 0.0 μB/f.u.

---

Record 8
The following is a GGA-PBE calculation of a geometry-optimized LiZrCuS3 structure, from Alexandria via LeMat-Bulk.

Unit cell a=7.600 b=3.511 c=8.122 alpha=90.00 beta=102.67 gamma=90.00
Space group P2_1/m (No. 11)
One atom of each set of equivalent atoms:
Li 0.139 0.250 0.165 [2 per cell]
Zr 0.314 0.750 0.766 [2 per cell]
Cu 0.405 0.750 0.408 [2 per cell]
S 0.105 0.250 0.853 [2 per cell]
S 0.254 0.250 0.508 [2 per cell]
S 0.426 0.750 0.134 [2 per cell]

Computed properties:
**DFT total energy**: -5.619 eV/atom
**Crystal system**: monoclinic
**Total magnetic moment**: 0.0 μB/f.u.

---

What is the total magnetic moment in the second record? 0.0 μB/f.u.

---

What is the total magnetic moment in the eighth record? 0.0 μB/f.u.